! LiIrO4 (PBE, optimized geometry); values from VASP
&SYSTEM
  ibrav = 0, nat = 12, ntyp = 3
/
ATOMIC_SPECIES
Ir 192.22 Ir.upf
Li 6.94 Li.upf
O 16.00 O.upf
CELL_PARAMETERS angstrom
4.5143 0.0000 0.0000
0.0000 5.5633 0.0000
-0.1522 0.0000 5.0207
ATOMIC_POSITIONS angstrom
Ir -0.0381 4.6610 1.2552
Ir -0.1142 0.9023 3.7655
Li 2.2191 1.9121 1.2552
Li 2.1430 3.6512 3.7655
O 3.5230 0.6148 0.3472
O 3.3050 3.4876 0.5464
O 1.1333 3.4876 1.9639
O 0.9152 0.6148 2.1632
O 3.4469 4.9485 2.8575
O 3.2289 2.0756 3.0568
O 1.0571 2.0756 4.4743
O 0.8391 4.9485 4.6735
! * relative energy among the computed polymorphs: 0.0114 eV/atom